# 1
An optimized crystal structure of ZrPaS3, computed with GGA-PBE. Values from VASP.

Summary:
- electronic total energy (Ry per atom) = -0.55797

Cell and atoms, written as Quantum ESPRESSO input:
```
&SYSTEM
  ibrav = 0, nat = 10, ntyp = 3
/
ATOMIC_SPECIES
Zr 91.22 Zr.upf
Pa 231.04 Pa.upf
S 32.06 S.upf
ATOMIC_POSITIONS angstrom
Zr 1.931 6.457 3.301
Zr 1.931 -6.457 0.000
Pa 1.931 3.185 3.302
Pa 1.931 -3.185 0.001
S 1.931 7.992 1.197
S 1.931 4.884 5.506
S 1.931 1.898 1.000
S 1.931 -1.898 4.301
S 1.931 -4.884 2.205
S 1.931 -7.992 4.498
CELL_PARAMETERS angstrom
1.931 -9.772 0.000
1.931 9.772 0.000
0.000 0.000 6.602
```


# 2
An optimized crystal structure of Zr4PaS8, computed with GGA-PBE. Values from VASP.

Summary:
- electronic total energy (Ry per atom) = -0.55486

Cell and atoms, written as Quantum ESPRESSO input:
```
&SYSTEM
  ibrav = 0, nat = 13, ntyp = 3
/
ATOMIC_SPECIES
Zr 91.22 Zr.upf
Pa 231.04 Pa.upf
S 32.06 S.upf
ATOMIC_POSITIONS angstrom
Zr 0.000 0.000 0.000
Zr -1.820 -1.051 6.332
Zr -1.820 1.051 12.664
Zr 0.000 2.102 6.332
Pa 0.000 0.000 9.498
S -1.857 -1.072 11.095
S 0.000 -2.144 7.901
S -1.857 1.072 7.901
S 0.000 0.000 4.861
S 0.000 0.000 14.135
S 1.857 -1.072 11.095
S 0.000 2.144 11.095
S 1.857 1.072 7.901
CELL_PARAMETERS angstrom
3.640 2.102 6.332
-3.640 2.102 6.332
0.000 -4.203 6.332
```


# 3
An optimized crystal structure of Zr2PaS, computed with GGA-PBE. Values from VASP.

Summary:
- electronic total energy (Ry per atom) = -0.59008

Cell and atoms, written as Quantum ESPRESSO input:
```
&SYSTEM
  ibrav = 0, nat = 4, ntyp = 3
/
ATOMIC_SPECIES
Zr 91.22 Zr.upf
Pa 231.04 Pa.upf
S 32.06 S.upf
ATOMIC_POSITIONS angstrom
Zr 0.000 0.000 2.994
Zr 0.000 0.000 25.928
Pa 0.000 0.000 0.000
S 0.000 0.000 14.461
CELL_PARAMETERS angstrom
1.625 0.938 9.641
-1.625 0.938 9.641
0.000 -1.877 9.641
```


# 4
An optimized crystal structure of ZrPa5S6, computed with GGA-PBE. Values from VASP.

Summary:
- electronic total energy (Ry per atom) = -0.61085

Cell and atoms, written as Quantum ESPRESSO input:
```
&SYSTEM
  ibrav = 0, nat = 12, ntyp = 3
/
ATOMIC_SPECIES
Zr 91.22 Zr.upf
Pa 231.04 Pa.upf
S 32.06 S.upf
ATOMIC_POSITIONS angstrom
Zr 0.000 0.000 0.000
Pa 2.187 3.867 3.167
Pa 3.319 1.937 0.000
Pa 2.187 0.000 3.167
Pa 3.319 -1.937 0.000
Pa 2.187 -3.867 3.167
S 1.067 1.892 1.540
S -0.092 0.000 4.775
S 1.067 -1.892 1.540
S 3.307 1.892 4.795
S 4.466 0.000 1.560
S 3.307 -1.892 4.795
CELL_PARAMETERS angstrom
3.319 -5.815 0.000
3.319 5.815 0.000
-2.263 0.000 6.335
```


# 5
An optimized crystal structure of ZrPaS, computed with GGA-PBE. Values from VASP.

Summary:
- electronic total energy (Ry per atom) = -0.60397

Cell and atoms, written as Quantum ESPRESSO input:
```
&SYSTEM
  ibrav = 0, nat = 3, ntyp = 3
/
ATOMIC_SPECIES
Zr 91.22 Zr.upf
Pa 231.04 Pa.upf
S 32.06 S.upf
ATOMIC_POSITIONS angstrom
Zr 0.000 0.000 0.000
Pa 1.743 1.006 2.770
S 0.000 2.013 4.723
CELL_PARAMETERS angstrom
3.486 0.000 0.000
-1.743 3.019 0.000
0.000 0.000 6.314
```


# 6
An optimized crystal structure of Zr2PaS, computed with GGA-PBE. Values from VASP.

Summary:
- electronic total energy (Ry per atom) = -0.61113

Cell and atoms, written as Quantum ESPRESSO input:
```
&SYSTEM
  ibrav = 0, nat = 4, ntyp = 3
/
ATOMIC_SPECIES
Zr 91.22 Zr.upf
Pa 231.04 Pa.upf
S 32.06 S.upf
ATOMIC_POSITIONS angstrom
Zr 0.000 0.000 0.000
Zr 0.000 0.000 5.376
Pa 0.000 0.000 20.625
S 0.000 0.000 16.115
CELL_PARAMETERS angstrom
1.670 0.964 8.964
-1.670 0.964 8.964
0.000 -1.928 8.964
```


# 7
An optimized crystal structure of ZrPa2S6, computed with GGA-PBE. Values from VASP.

Summary:
- electronic total energy (Ry per atom) = -0.52542

Cell and atoms, written as Quantum ESPRESSO input:
```
&SYSTEM
  ibrav = 0, nat = 9, ntyp = 3
/
ATOMIC_SPECIES
Zr 91.22 Zr.upf
Pa 231.04 Pa.upf
S 32.06 S.upf
ATOMIC_POSITIONS angstrom
Zr 0.000 0.000 0.000
Pa -1.446 0.000 5.004
Pa 9.665 0.000 1.635
S -1.220 0.000 2.352
S 2.614 0.000 0.919
S 1.057 0.000 5.267
S 7.162 0.000 1.373
S 5.605 0.000 5.721
S 9.440 0.000 4.288
CELL_PARAMETERS angstrom
6.727 -2.576 0.000
6.727 2.576 0.000
-5.235 0.000 6.640
```


# 8
An optimized crystal structure of ZrPa2S4, computed with GGA-PBE. Values from VASP.

Summary:
- electronic total energy (Ry per atom) = -0.56814

Cell and atoms, written as Quantum ESPRESSO input:
```
&SYSTEM
  ibrav = 0, nat = 14, ntyp = 3
/
ATOMIC_SPECIES
Zr 91.22 Zr.upf
Pa 231.04 Pa.upf
S 32.06 S.upf
ATOMIC_POSITIONS angstrom
Zr 1.800 4.794 9.864
Zr 1.800 -4.794 3.288
Pa 1.800 1.817 7.479
Pa 1.800 1.817 12.248
Pa 1.800 -1.817 0.903
Pa 1.800 -1.817 5.672
S 0.000 0.000 0.000
S 0.000 0.000 6.576
S 1.800 2.700 1.715
S 1.800 2.700 4.861
S 1.800 0.360 9.864
S 1.800 -0.360 3.288
S 1.800 -2.700 8.291
S 1.800 -2.700 11.437
CELL_PARAMETERS angstrom
1.800 -6.407 0.000
1.800 6.407 0.000
0.000 0.000 13.152
```


# 9
An optimized crystal structure of ZrPaS2, computed with GGA-PBE. Values from VASP.

Summary:
- electronic total energy (Ry per atom) = -0.57496

Cell and atoms, written as Quantum ESPRESSO input:
```
&SYSTEM
  ibrav = 0, nat = 16, ntyp = 3
/
ATOMIC_SPECIES
Zr 91.22 Zr.upf
Pa 231.04 Pa.upf
S 32.06 S.upf
ATOMIC_POSITIONS angstrom
Zr 0.630 1.326 1.208
Zr 3.426 3.977 5.563
Zr 4.685 1.326 3.146
Zr 7.482 3.977 7.501
Pa 0.826 1.326 5.401
Pa 3.230 3.977 1.047
Pa 4.882 1.326 7.662
Pa 7.286 3.977 3.308
S 0.574 3.977 1.049
S 0.862 3.977 5.423
S 3.194 1.326 1.068
S 3.481 1.326 5.403
S 4.630 3.977 3.306
S 4.918 3.977 7.640
S 7.250 1.326 3.286
S 7.537 1.326 7.660
CELL_PARAMETERS angstrom
8.112 0.000 0.000
0.000 5.302 0.000
0.000 0.000 8.709
```


# 10
An optimized crystal structure of ZrPaS6, computed with GGA-PBE. Values from VASP.

Summary:
- electronic total energy (Ry per atom) = -0.46697

Cell and atoms, written as Quantum ESPRESSO input:
```
&SYSTEM
  ibrav = 0, nat = 8, ntyp = 3
/
ATOMIC_SPECIES
Zr 91.22 Zr.upf
Pa 231.04 Pa.upf
S 32.06 S.upf
ATOMIC_POSITIONS angstrom
Zr 0.000 0.000 0.000
Pa 3.068 3.951 3.297
S 0.834 4.001 1.695
S 2.621 6.073 5.023
S 2.986 6.212 1.610
S 3.151 1.690 4.983
S 3.515 1.829 1.570
S 5.303 3.901 4.898
CELL_PARAMETERS angstrom
4.497 0.000 0.000
0.910 6.009 0.000
0.730 1.893 6.593
```


# 11
An optimized crystal structure of ZrPaS2, computed with GGA-PBE. Values from VASP.

Summary:
- electronic total energy (Ry per atom) = -0.59664

Cell and atoms, written as Quantum ESPRESSO input:
```
&SYSTEM
  ibrav = 0, nat = 16, ntyp = 3
/
ATOMIC_SPECIES
Zr 91.22 Zr.upf
Pa 231.04 Pa.upf
S 32.06 S.upf
ATOMIC_POSITIONS angstrom
Zr 0.498 0.921 1.195
Zr 2.816 2.762 7.590
Zr 3.811 0.921 5.199
Zr 6.129 2.762 11.593
Pa 0.566 2.762 4.463
Pa 2.747 0.921 10.857
Pa 3.880 2.762 1.932
Pa 6.060 0.921 8.326
S 1.090 2.762 9.539
S 1.479 0.921 6.394
S 1.834 2.762 12.789
S 2.223 0.921 3.144
S 4.403 2.762 9.645
S 4.793 0.921 0.000
S 5.147 2.762 6.395
S 5.537 0.921 3.250
CELL_PARAMETERS angstrom
6.627 0.000 0.000
0.000 3.683 0.000
0.000 0.000 12.789
```


# 12
An optimized crystal structure of ZrPaS2, computed with GGA-PBE. Values from VASP.

Summary:
- electronic total energy (Ry per atom) = -0.59317

Cell and atoms, written as Quantum ESPRESSO input:
```
&SYSTEM
  ibrav = 0, nat = 4, ntyp = 3
/
ATOMIC_SPECIES
Zr 91.22 Zr.upf
Pa 231.04 Pa.upf
S 32.06 S.upf
ATOMIC_POSITIONS angstrom
Zr 0.000 0.000 0.000
Pa 0.000 0.000 3.702
S 0.000 0.000 12.992
S 0.000 0.000 16.369
CELL_PARAMETERS angstrom
1.748 1.009 7.328
-1.748 1.009 7.328
0.000 -2.018 7.328
```


Record order is preserved below.
N(E_F): 8.53; 5.89; 4.92; 17.47; 4.30; 5.22; 5.21; 16.88; 18.30; 3.23; 16.06; 2.60 states/eV/cell
Record order is preserved below.
Formation energy from raw total energies: -1506; -1649; -349; -1578; -827; -635; -1337; -1437; -1248; -1002; -1543; -1496 meV/atom
Record order is preserved below.
Size of the total moment: 0.00; 0.00; 0.22; 0.00; 0.00; 0.00; 2.03; 1.19; 0.00; 0.16; 0.00; 0.00 μB/f.u.